# 1
{
  "formula": "Li2Ga2Ni",
  "functional": "GGA-PBE",
  "state": "optimized geometry",
  "formation_energy_ev_per_atom": -0.096,
  "sg": "I4/mmm, No. 139",
  "final_energy_ev_per_atom": -3.2284,
  "crystal_system": "tetragonal",
  "relative_energy_mev_per_atom": 217,
  "cell": [[-0.7181, 3.0693, 0.8448], [-3.1512, -0.8083, 0.2581], [-1.0110, -0.4203, 6.9709]],
  "species": ["Li", "Li", "Ga", "Ga", "Ni"],
  "frac_coords": [[0.2500, 0.7500, 0.5000], [0.7500, 0.2500, 0.5000], [0.5951, 0.5951, 0.8098], [0.4049, 0.4049, 0.1902], [0.0000, 0.0000, 0.0000]]
}



# 2
{
  "formula": "Li3Ga4Ni4",
  "functional": "GGA-PBE",
  "state": "optimized geometry",
  "formation_energy_ev_per_atom": -0.185,
  "sg": "Immm, No. 71",
  "final_energy_ev_per_atom": -3.9102,
  "crystal_system": "orthorhombic",
  "relative_energy_mev_per_atom": 67,
  "cell": [[-0.9363, -1.5284, -2.0382], [6.0124, -4.4876, 0.6033], [-6.1332, -1.1660, 5.4990]],
  "species": ["Ni", "Ni", "Ni", "Ni", "Li", "Li", "Li", "Ga", "Ga", "Ga", "Ga"],
  "frac_coords": [[0.5000, 0.1943, 0.0000], [0.5000, 0.8057, 0.0000], [0.2455, 0.7455, 0.4910], [0.7545, 0.2545, 0.5090], [0.1046, 0.1046, 0.2093], [0.0000, 0.5000, 0.0000], [0.8954, 0.8954, 0.7907], [0.6552, 0.4464, 0.3104], [0.3448, 0.5536, 0.6896], [0.6552, 0.8640, 0.3104], [0.3448, 0.1360, 0.6896]]
}



# 3
{
  "formula": "Li2GaNi3",
  "functional": "GGA-PBE",
  "state": "optimized geometry",
  "formation_energy_ev_per_atom": -0.207,
  "sg": "R-3m, No. 166",
  "final_energy_ev_per_atom": -4.2403,
  "crystal_system": "trigonal",
  "relative_energy_mev_per_atom": 0,
  "cell": [[4.2783, -0.1275, -2.2403], [-2.7224, 3.9855, -0.2095], [-0.1998, 0.1085, 4.8007]],
  "species": ["Ni", "Ni", "Ni", "Li", "Li", "Ga"],
  "frac_coords": [[0.5000, 0.0000, 0.5000], [0.5000, 0.5000, 0.5000], [0.0000, 0.0000, 0.5000], [0.7612, 0.3804, 0.1417], [0.2388, 0.6196, 0.8583], [0.0000, 0.0000, 0.0000]]
}